ThScAs (PBE-GGA, optimized geometry); VASP energy = -18.06 eV for the cell shown
1.0
4.144 0.422 2.342
0.478 3.286 3.437
0.309 -1.353 4.573
As Sc Th
1 1 1
direct
0.250 0.250 0.250 As
0.000 0.000 0.000 Sc
0.750 0.750 0.750 Th